# Cs2VCl4F2 PBE with a Hubbard U relaxed
data_Cs2VCl4F2
_chemical_formula_sum 'Cs4 V2 Cl8 F4'
_cell_length_a 11.9414
_cell_length_b 7.3535
_cell_length_c 5.9347
_cell_angle_alpha 90.00
_cell_angle_beta 99.41
_cell_angle_gamma 90.00
_symmetry_space_group_name_H-M 'C 1 2/m 1'
_symmetry_Int_Tables_number 12
loop_
_symmetry_equiv_pos_as_xyz
'x,y,z'
'-x,-y,-z'
'-x,y,-z'
'x,-y,z'
'x+1/2,y+1/2,z'
'-x+1/2,-y+1/2,-z'
'-x+1/2,y+1/2,-z'
'x+1/2,-y+1/2,z'
loop_
_atom_site_label
_atom_site_fract_x
_atom_site_fract_y
_atom_site_fract_z
Cs1 0.1666 0.0000 0.3177
V1 0.0000 0.5000 0.0000
Cl1 0.0902 0.2689 0.8121
F1 0.1205 0.5000 0.2324
# density: 3.2 Mg/m³
# DFT total energy: -4.23 eV/atom
# density of states at the Fermi level: 0.000 states/eV/atom